Record 1
This record from the Alexandria database describes an optimized crystal structure of HoEr3Mg6. The functional is GGA-PBE.

Results
space group	Fm-3m, No. 225
uncorrected energy	-18.51	eV per cell
DFT formation energy	0.932	eV per atom
energy relative to the lowest polymorph listed for this composition	988	meV per atom

abc: 7.776 7.776 7.776
angles: 60.00 60.00 60.00
Positions (direct):
Ho 0.000 0.000 0.000
Er 0.250 0.250 0.250
Er 0.500 0.500 0.500
Er 0.750 0.750 0.750
Mg 0.250 0.250 0.750
Mg 0.250 0.750 0.250
Mg 0.250 0.750 0.750
Mg 0.750 0.250 0.250
Mg 0.750 0.250 0.750
Mg 0.750 0.750 0.250

***

Record 2
This record from the Alexandria database describes an optimized crystal structure of TiGa2Cl6. The functional is GGA-PBE.

Results
space group	P4_2/mnm, No. 136
uncorrected energy	-71.18	eV per cell
energy relative to the lowest polymorph listed for this composition	0	meV per atom

abc: 6.701 6.701 11.775
angles: 90.00 90.00 90.00
Positions (direct):
Ti 0.000 0.000 0.000
Ti 0.500 0.500 0.500
Ga 0.000 0.000 0.332
Ga 0.000 0.000 0.668
Ga 0.500 0.500 0.168
Ga 0.500 0.500 0.832
Cl 0.175 0.175 0.146
Cl 0.175 0.175 0.854
Cl 0.246 0.754 0.000
Cl 0.254 0.254 0.500
Cl 0.325 0.675 0.354
Cl 0.325 0.675 0.646
Cl 0.675 0.325 0.354
Cl 0.675 0.325 0.646
Cl 0.746 0.746 0.500
Cl 0.754 0.246 0.000
Cl 0.825 0.825 0.146
Cl 0.825 0.825 0.854

***

Record 3
This record from the Alexandria database describes an optimized crystal structure of Tm3PdRh. The functional is GGA-PBE.

Results
space group	Pmmn, No. 59
uncorrected energy	-59.19	eV per cell
DFT formation energy	-0.727	eV per atom
energy relative to the lowest polymorph listed for this composition	24	meV per atom

abc: 4.100 6.854 8.552
angles: 90.00 90.00 90.00
Positions (direct):
Tm 0.250 0.008 0.167
Tm 0.250 0.250 0.557
Tm 0.250 0.492 0.167
Tm 0.750 0.508 0.833
Tm 0.750 0.750 0.443
Tm 0.750 0.992 0.833
Pd 0.250 0.750 0.667
Pd 0.750 0.250 0.333
Rh 0.250 0.250 0.891
Rh 0.750 0.750 0.109

***

Record 4
This record from the Alexandria database describes an optimized crystal structure of Pm2Be3Ge4. The functional is GGA-PBE.

Results
space group	Cmce, No. 64
uncorrected energy	-84.00	eV per cell
DFT formation energy	-0.317	eV per atom

abc: 7.910 7.910 7.463
angles: 90.00 90.00 138.21
Positions (direct):
Pm 0.115 0.885 0.910
Pm 0.385 0.615 0.410
Pm 0.615 0.385 0.590
Pm 0.885 0.115 0.090
Be 0.000 0.000 0.500
Be 0.036 0.464 0.750
Be 0.464 0.036 0.250
Be 0.500 0.500 0.000
Be 0.536 0.964 0.750
Be 0.964 0.536 0.250
Ge 0.193 0.807 0.539
Ge 0.196 0.304 0.750
Ge 0.304 0.196 0.250
Ge 0.307 0.693 0.039
Ge 0.693 0.307 0.961
Ge 0.696 0.804 0.750
Ge 0.804 0.696 0.250
Ge 0.807 0.193 0.461

***

Record 5
This record from the Alexandria database describes an optimized crystal structure of PmSm2DyTl4. The functional is GGA-PBE.

Results
space group	R-3m, No. 166
uncorrected energy	-31.20	eV per cell
DFT formation energy	-0.368	eV per atom

abc: 9.443 9.443 9.443
angles: 33.50 33.50 33.50
Positions (direct):
Pm 0.000 0.000 0.000
Sm 0.249 0.249 0.249
Sm 0.751 0.751 0.751
Dy 0.500 0.500 0.500
Tl 0.126 0.126 0.126
Tl 0.376 0.376 0.376
Tl 0.624 0.624 0.624
Tl 0.874 0.874 0.874

***

Record 6
This record from the Alexandria database describes an optimized crystal structure of UCu2F8. The functional is GGA-PBE.

Results
space group	I422, No. 97
uncorrected energy	-62.13	eV per cell
energy relative to the lowest polymorph listed for this composition	0	meV per atom

abc: 6.621 6.621 6.621
angles: 127.95 127.95 76.71
Positions (direct):
U 0.000 0.000 0.000
Cu 0.250 0.750 0.500
Cu 0.750 0.250 0.500
F 0.008 0.593 0.840
F 0.168 0.008 0.415
F 0.247 0.407 0.415
F 0.407 0.992 0.160
F 0.593 0.753 0.585
F 0.753 0.168 0.160
F 0.832 0.247 0.840
F 0.992 0.832 0.585